A plane-wave DFT calculation with PBE was carried out for a relaxed TlGeTe2N crystal.

Cell: 6.0787 6.0787 3.4864 Å, 90.00 90.00 90.00°
With the nearest neighbours (Å) after each atom.
Space group P4/mmm (No. 123)
Unique sites:
Tl 0.0000 0.0000 0.0000 x1  2 Tl 3.49, 8 Te 3.50
Ge 0.5000 0.5000 0.5000 x1  2 N 1.74
Te 0.0000 0.5000 0.5000 x2  2 Ge 3.04
N 0.5000 0.5000 0.0000 x1  2 Ge 1.74

Results
The final energy comes out at -19.35 eV/cell. The total magnetic moment comes out at 0.000 μB per cell. For the formation energy (no corrections), the calculation gives 448 meV/atom.